Crystalline Eu2HoHg at its relaxed geometry. Source: Alexandria, functional PBE-GGA.

Geometry as POSCAR:
```
Eu2HoHg
1.0
-0.412 0.692 -4.932
-1.097 -4.808 -0.583
-4.826 1.035 0.549
Eu Ho Hg
2 1 1
Direct
0.000 0.500 0.000 Eu
0.000 0.000 0.500 Eu
0.500 0.500 0.500 Ho
0.500 0.000 0.000 Hg
```

- Formation energy from the elements: -102 meV per atom
- Distance to the lowest polymorph of the same formula: 0.32 eV/f.u.
- Energy: -25.8 eV/f.u.

Crystalline Eu2HoHg at its relaxed geometry. Source: Alexandria, functional PBE-GGA.

Geometry as POSCAR:
```
Eu2HoHg
1.0
3.619 0.000 0.000
1.809 3.134 0.000
1.809 1.045 12.007
Hg Eu Ho
1 2 1
Direct
0.500 0.500 0.500 Hg
0.905 0.905 0.286 Eu
0.095 0.095 0.714 Eu
0.000 0.000 0.000 Ho
```

- Formation energy from the elements: 69 meV per atom
- Distance to the lowest polymorph of the same formula: 1.00 eV/f.u.
- Energy: -25.2 eV/f.u.

Crystalline EuHoInHg at its relaxed geometry. Source: Alexandria, functional PBE-GGA.

Geometry as POSCAR:
```
EuHoInHg
1.0
5.410 0.000 0.000
2.705 4.685 0.000
2.705 1.562 4.417
In Hg Ho Eu
1 1 1 1
Direct
0.250 0.250 0.250 In
0.750 0.750 0.750 Hg
0.000 0.000 0.000 Ho
0.500 0.500 0.500 Eu
```

- Formation energy from the elements: -460 meV per atom
- Energy: -19.7 eV/f.u.

Crystalline LaEuHoHg at its relaxed geometry. Source: Alexandria, functional PBE-GGA.

Geometry as POSCAR:
```
LaEuHoHg
1.0
-1.274 5.407 -0.280
-4.457 1.661 -2.883
-4.474 1.945 2.671
Eu Hg Ho La
1 1 1 1
Direct
0.000 0.000 0.000 Eu
0.500 0.500 0.500 Hg
0.750 0.750 0.750 Ho
0.250 0.250 0.250 La
```

- Formation energy from the elements: -65 meV per atom
- Energy: -20.3 eV/f.u.

Crystalline LiEuHoHg at its relaxed geometry. Source: Alexandria, functional PBE-GGA.

Geometry as POSCAR:
```
LiEuHoHg
1.0
-1.869 -4.235 2.669
-2.358 -3.998 -2.646
2.451 -4.728 -0.436
Ho Hg Li Eu
1 1 1 1
Direct
0.250 0.250 0.250 Ho
0.500 0.500 0.500 Hg
0.000 0.000 0.000 Li
0.750 0.750 0.750 Eu
```

- Formation energy from the elements: -200 meV per atom
- Energy: -17.9 eV/f.u.

Crystalline EuHoMgHg at its relaxed geometry. Source: Alexandria, functional PBE-GGA.

Geometry as POSCAR:
```
EuHoMgHg
1.0
5.407 0.000 0.000
2.703 4.683 0.000
2.703 1.561 4.415
Eu Ho Mg Hg
1 1 1 1
Direct
0.250 0.250 0.250 Eu
0.750 0.750 0.750 Ho
0.000 0.000 0.000 Mg
0.500 0.500 0.500 Hg
```

- Formation energy from the elements: -247 meV per atom
- Energy: -17.7 eV/f.u.